[1]
Zr3Ni5Sb: optimized geometry, PBE-GGA.

Results
formation energy from raw total energies: -0.317 eV/atom
magnetization: 0.0 μB/f.u.
total energy: -6.8363 eV per atom

a b c (Å): 7.7317 7.7317 5.5409
angles (deg): 90.00 90.00 120.00
Space group P6_3/mcm (No. 193)
One atom of each set of equivalent atoms:
Zr (0.0000, 0.3575, 0.2500) (multiplicity 6)
Ni (0.0000, 0.3225, 0.7500) (multiplicity 6)
Ni (0.3333, 0.6667, 0.0000) (multiplicity 4)
Sb (0.0000, 0.0000, 0.0000) (multiplicity 2)

=====

[2]
Zr6NiSb2: optimized geometry, PBE-GGA.

Results
formation energy from raw total energies: -0.581 eV/atom
magnetization: 0.0 μB/f.u.
total energy: -7.8385 eV per atom

a b c (Å): 7.8114 7.8114 3.6741
angles (deg): 90.00 90.00 120.00
Space group P-62m (No. 189)
One atom of each set of equivalent atoms:
Zr (0.0000, 0.2416, 0.0000) (multiplicity 3)
Zr (0.0000, 0.5980, 0.5000) (multiplicity 3)
Ni (0.0000, 0.0000, 0.5000) (multiplicity 1)
Sb (0.3333, 0.6667, 0.0000) (multiplicity 2)

=====

[3]
ZrNiSb: optimized geometry, PBE-GGA.

Results
formation energy from raw total energies: -0.482 eV/atom
magnetization: 0.0 μB/f.u.
total energy: -6.6329 eV per atom

a b c (Å): 5.667 3.829 10.376
angles (deg): 90.00 90.00 90.00
Space group Pnma (No. 62)
One atom of each set of equivalent atoms:
Zr (0.218, 0.250, 0.059) (multiplicity 4)
Ni (0.012, 0.250, 0.783) (multiplicity 4)
Sb (0.205, 0.250, 0.349) (multiplicity 4)

=====

[4]
Zr7NiSb3: optimized geometry, PBE-GGA.

Results
formation energy from raw total energies: -0.548 eV/atom
magnetization: 0.0 μB/f.u.
total energy: -7.6374 eV per atom

a b c (Å): 16.781 3.927 14.732
angles (deg): 90.00 90.00 90.00
Space group Pnma (No. 62)
One atom of each set of equivalent atoms:
Zr (0.009, 0.250, 0.197) (multiplicity 4)
Zr (0.048, 0.250, 0.411) (multiplicity 4)
Zr (0.082, 0.250, 0.948) (multiplicity 4)
Zr (0.106, 0.250, 0.687) (multiplicity 4)
Zr (0.208, 0.750, 0.350) (multiplicity 4)
Zr (0.214, 0.250, 0.173) (multiplicity 4)
Zr (0.247, 0.750, 0.005) (multiplicity 4)
Ni (0.075, 0.750, 0.279) (multiplicity 4)
Sb (0.096, 0.750, 0.095) (multiplicity 4)
Sb (0.128, 0.750, 0.539) (multiplicity 4)
Sb (0.164, 0.750, 0.825) (multiplicity 4)

=====

[5]
ZrNiSb2: optimized geometry, PBE-GGA.

Results
formation energy from raw total energies: -0.231 eV/atom
magnetization: 0.0 μB/f.u.
total energy: -5.8743 eV per atom

a b c (Å): 4.676 4.676 3.668
angles (deg): 90.00 90.00 90.00
Space group P4/mmm (No. 123)
One atom of each set of equivalent atoms:
Zr (0.000, 0.000, 0.000) (multiplicity 1)
Ni (0.500, 0.500, 0.000) (multiplicity 1)
Sb (0.000, 0.500, 0.500) (multiplicity 2)

=====

[6]
ZrNi2Sb: optimized geometry, PBE-GGA.

Results
formation energy from raw total energies: -0.323 eV/atom
magnetization: 0.0 μB/f.u.
total energy: -6.3814 eV per atom

a b c (Å): 4.4833 4.4833 7.4853
angles (deg): 90.00 90.00 120.00
Space group P6_3/mmc (No. 194)
One atom of each set of equivalent atoms:
Zr (0.0000, 0.0000, 0.0000) (multiplicity 2)
Ni (0.3333, 0.6667, 0.0928) (multiplicity 4)
Sb (0.3333, 0.6667, 0.7500) (multiplicity 2)

=====

> Number 3 is which compound?

ZrNiSb

=====

> What is the magnetization in the second record?

0.0 μB/f.u.